Run i
VASP calculation (PBE-GGA) on crystalline FeB3P at its relaxed geometry.

abc: 3.774 3.774 3.774
angles: 90.00 90.00 90.00
Site moments in Bohr magnetons follow the coordinates.
Sites, in units of the cell vectors:
P 0.000 0.000 0.000  -0.01
B 0.000 0.500 0.000  0.01
B 0.000 0.000 0.500  0.00
B 0.500 0.000 0.000  0.01
Fe 0.500 0.500 0.500  -0.06

## Properties
Symmetry: Pm-3m (221)


Run ii
VASP calculation (PBE-GGA) on crystalline FeB3P at its relaxed geometry.

abc: 3.818 3.818 3.818
angles: 90.00 90.00 90.00
Site moments in Bohr magnetons follow the coordinates.
Sites, in units of the cell vectors:
P 0.500 0.500 0.500  0.42
B 0.000 0.500 0.000  -0.02
B 0.000 0.000 0.500  0.00
B 0.500 0.000 0.000  0.02
Fe 0.000 0.000 0.000  1.04

## Properties
Symmetry: Pm-3m (221)


We find run ii to be the most stable, with the next structure 466 meV/atom higher.


Run i
VASP calculation (PBE-GGA) on crystalline FeBP2S at its relaxed geometry.

abc: 3.937 3.937 4.150
angles: 90.00 90.00 90.00
Sites, in units of the cell vectors:
P 0.000 0.500 0.000
P 0.500 0.000 0.000
S 0.000 0.000 0.500
B 0.000 0.000 0.000
Fe 0.500 0.500 0.500

## Properties
Symmetry: P4/mmm (123)


Run ii
VASP calculation (PBE-GGA) on crystalline FeBP2S at its relaxed geometry.

abc: 4.129 4.129 4.985
angles: 90.00 90.00 90.00
Sites, in units of the cell vectors:
P 0.000 0.500 0.000
P 0.500 0.000 0.000
S 0.000 0.000 0.500
B 0.500 0.500 0.500
Fe 0.000 0.000 0.000

## Properties
Symmetry: P4/mmm (123)


We find run i to be the most stable, with the next structure 191 meV/atom higher.


Run i
VASP calculation (PBE-GGA) on crystalline PaFeB3 at its relaxed geometry.

abc: 3.235 3.068 11.114
angles: 90.00 98.37 90.00
Site moments in Bohr magnetons follow the coordinates.
Sites, in units of the cell vectors:
Pa 0.915 0.750 0.830  -0.03
Pa 0.085 0.250 0.170  -0.03
Fe 0.214 0.750 0.429  1.70
Fe 0.786 0.250 0.571  1.70
B 0.654 0.750 0.309  -0.01
B 0.346 0.250 0.691  -0.01
B 0.513 0.750 0.025  0.00
B 0.487 0.250 0.975  0.00
B 0.689 0.250 0.379  -0.04
B 0.311 0.750 0.621  -0.04

## Properties
Symmetry: Cmcm (63)


Run ii
VASP calculation (PBE-GGA) on crystalline PaFeB3 at its relaxed geometry.

abc: 3.586 3.586 4.870
angles: 111.60 111.60 90.00
Sites, in units of the cell vectors:
Pa 0.011 0.011 0.021
Fe 0.643 0.643 0.286
B 0.275 0.775 0.551
B 0.775 0.275 0.551
B 0.386 0.386 0.772

## Properties
Symmetry: I4mm (107)


We find run i to be the most stable, with the next structure 242 meV/atom higher.


Run i
VASP calculation (PBE-GGA) on crystalline PaFeB at its relaxed geometry.

abc: 3.580 3.820 3.580
angles: 90.00 90.00 90.00
Site moments in Bohr magnetons follow the coordinates.
Sites, in units of the cell vectors:
Pa 0.120 0.500 0.120  -0.31
Fe 0.619 0.000 0.619  0.96
B 0.620 0.500 0.620  -0.05

## Properties
Symmetry: P4/mmm (123)


Run ii
VASP calculation (PBE-GGA) on crystalline PaFeB at its relaxed geometry.

abc: 3.800 3.617 3.617
angles: 120.00 90.00 90.00
Sites, in units of the cell vectors:
B 0.167 0.000 0.000
Pa 0.666 0.667 0.333
Fe 0.167 0.333 0.667

## Properties
Symmetry: P-6m2 (187)


Run iii
VASP calculation (PBE-GGA) on crystalline PaFeB at its relaxed geometry.

abc: 2.899 2.899 5.175
angles: 106.27 106.27 90.00
Site moments in Bohr magnetons follow the coordinates.
Sites, in units of the cell vectors:
B 0.326 0.326 0.652  -0.04
Pa 0.623 0.623 0.245  0.06
Fe 0.901 0.901 0.802  1.14

## Properties
Symmetry: I4mm (107)


We find run ii to be the most stable, with the next structure 247 meV/atom higher.


Run i
VASP calculation (PBE-GGA) on crystalline Fe3BPb at its relaxed geometry.

abc: 4.002 4.002 4.002
angles: 90.00 90.00 90.00
Site moments in Bohr magnetons follow the coordinates.
Sites, in units of the cell vectors:
Pb 0.500 0.500 0.500  -0.10
B 0.000 0.000 0.000  -0.17
Fe 0.000 0.500 0.000  1.94
Fe 0.000 0.000 0.500  1.88
Fe 0.500 0.000 0.000  1.69

## Properties
Symmetry: Pm-3m (221)


Run ii
VASP calculation (PBE-GGA) on crystalline Fe3BPb at its relaxed geometry.

abc: 4.922 4.922 4.922
angles: 90.00 90.00 90.00
Site moments in Bohr magnetons follow the coordinates.
Sites, in units of the cell vectors:
Pb 0.000 0.000 0.000  -0.05
B 0.500 0.500 0.500  -0.18
Fe 0.000 0.500 0.000  2.98
Fe 0.000 0.000 0.500  3.29
Fe 0.500 0.000 0.000  2.87

## Properties
Symmetry: Pm-3m (221)


We find run i to be the most stable, with the next structure 2224 meV/atom higher.


Run i
VASP calculation (PBE-GGA) on crystalline FeBPb3 at its relaxed geometry.

abc: 4.960 4.960 4.960
angles: 90.00 90.00 90.00
Site moments in Bohr magnetons follow the coordinates.
Sites, in units of the cell vectors:
Pb 0.000 0.500 0.000  0.00
Pb 0.000 0.000 0.500  -0.02
Pb 0.500 0.000 0.000  0.02
B 0.000 0.000 0.000  -0.03
Fe 0.500 0.500 0.500  -0.18

## Properties
Symmetry: Pm-3m (221)


Run ii
VASP calculation (PBE-GGA) on crystalline FeBPb3 at its relaxed geometry.

abc: 5.083 5.083 5.083
angles: 90.00 90.00 90.00
Site moments in Bohr magnetons follow the coordinates.
Sites, in units of the cell vectors:
Pb 0.000 0.500 0.000  -0.02
Pb 0.000 0.000 0.500  0.01
Pb 0.500 0.000 0.000  -0.05
B 0.500 0.500 0.500  0.37
Fe 0.000 0.000 0.000  1.73

## Properties
Symmetry: Pm-3m (221)


We find run ii to be the most stable, with the next structure 233 meV/atom higher.


Run i
VASP calculation (PBE-GGA) on crystalline FeB2Pd at its relaxed geometry.

abc: 4.578 4.578 5.622
angles: 65.98 65.98 90.00
Sites, in units of the cell vectors:
B 0.589 0.125 0.250
B 0.161 0.625 0.250
B 0.375 0.411 0.750
B 0.875 0.839 0.750
Fe 0.500 0.500 0.000
Fe 0.250 0.750 0.500
Pd 0.000 0.000 0.000
Pd 0.750 0.250 0.500

## Properties
Symmetry: I-42d (122)


Run ii
VASP calculation (PBE-GGA) on crystalline FeB2Pd at its relaxed geometry.

abc: 3.726 3.726 3.726
angles: 60.00 60.00 60.00
Sites, in units of the cell vectors:
B 0.250 0.250 0.250
B 0.750 0.750 0.750
Fe 0.000 0.000 0.000
Pd 0.500 0.500 0.500

## Properties
Symmetry: Fm-3m (225)


We find run ii to be the most stable, with the next structure 185 meV/atom higher.


Run i
VASP calculation (PBE-GGA) on crystalline FeReB3 at its relaxed geometry.

abc: 4.067 4.067 4.067
angles: 90.00 90.00 90.00
Site moments in Bohr magnetons follow the coordinates.
Sites, in units of the cell vectors:
Re 0.000 0.000 0.000  0.14
B 0.000 0.500 0.000  0.02
B 0.000 0.000 0.500  -0.01
B 0.500 0.000 0.000  0.00
Fe 0.500 0.500 0.500  3.16

## Properties
Symmetry: Pm-3m (221)


Run ii
VASP calculation (PBE-GGA) on crystalline FeReB3 at its relaxed geometry.

abc: 3.665 3.665 3.665
angles: 90.00 90.00 90.00
Sites, in units of the cell vectors:
Re 0.500 0.500 0.500
B 0.000 0.500 0.000
B 0.000 0.000 0.500
B 0.500 0.000 0.000
Fe 0.000 0.000 0.000

## Properties
Symmetry: Pm-3m (221)


We find run ii to be the most stable, with the next structure 65 meV/atom higher.